Compound: DyEr12Sc6
Source: Alexandria
Functional: PBE
Structure: optimized geometry

a = 8.981 Å, b = 8.981 Å, c = 8.981 Å
α = 107.57°, β = 107.57°, γ = 107.57°
Positions (direct):
1 Sc 0.689 0.276 0.689
2 Sc 0.311 0.311 0.724
3 Sc 0.724 0.311 0.311
4 Sc 0.689 0.689 0.276
5 Sc 0.311 0.724 0.311
6 Sc 0.276 0.689 0.689
7 Er 0.112 0.888 0.500
8 Er 0.500 0.112 0.888
9 Er 0.144 0.369 0.369
10 Er 0.631 0.856 0.631
11 Er 0.888 0.500 0.112
12 Er 0.631 0.631 0.856
13 Er 0.888 0.112 0.500
14 Er 0.369 0.144 0.369
15 Er 0.500 0.888 0.112
16 Er 0.369 0.369 0.144
17 Er 0.112 0.500 0.888
18 Er 0.856 0.631 0.631
19 Dy 0.000 0.000 0.000

The density of states at the Fermi level comes out at 27.0 states/eV per cell. The formation enthalpy at 0 K comes out at 0.44 eV per atom. As for the energy: -89.04 eV per cell.

---

Compound: Dy4ErSc5
Source: Alexandria
Functional: PBE
Structure: optimized geometry

a = 5.583 Å, b = 7.710 Å, c = 7.710 Å
α = 82.47°, β = 68.77°, γ = 68.77°
Positions (direct):
1 Sc 0.131 0.621 0.000
2 Sc 0.752 0.379 0.000
3 Sc 0.694 0.000 0.000
4 Sc 0.752 0.000 0.379
5 Sc 0.131 0.000 0.621
6 Er 0.213 0.000 0.000
7 Dy 0.460 0.320 0.680
8 Dy 0.139 0.320 0.320
9 Dy 0.780 0.680 0.680
10 Dy 0.460 0.680 0.320

The density of states at the Fermi level comes out at 14.2 states/eV per cell. The formation enthalpy at 0 K comes out at 0.24 eV per atom. As for the energy: -52.23 eV per cell.

---

Compound: Dy4Er2Sc3
Source: Alexandria
Functional: PBE
Structure: optimized geometry

a = 3.481 Å, b = 3.481 Å, c = 25.154 Å
α = 90.00°, β = 90.00°, γ = 120.00°
Positions (direct):
1 Dy 0.000 0.000 0.548
2 Dy 0.667 0.333 0.221
3 Dy 0.667 0.333 0.431
4 Dy 0.000 0.000 0.760
5 Sc 0.000 0.000 0.325
6 Sc 0.667 0.333 0.654
7 Sc 0.000 0.000 0.980
8 Er 0.667 0.333 0.875
9 Er 0.667 0.333 0.084

The density of states at the Fermi level comes out at 14.4 states/eV per cell. The formation enthalpy at 0 K comes out at 0.06 eV per atom. As for the energy: -46.01 eV per cell.

---

Compound: Dy4Er2Sc3
Source: Alexandria
Functional: PBE
Structure: optimized geometry

a = 6.014 Å, b = 9.538 Å, c = 9.538 Å
α = 72.24°, β = 86.01°, γ = 86.01°
Positions (direct):
1 Er 0.824 0.241 0.523
2 Er 0.676 0.477 0.759
3 Er 0.324 0.523 0.241
4 Er 0.176 0.759 0.477
5 Sc 0.750 0.599 0.401
6 Sc 0.082 0.932 0.734
7 Sc 0.918 0.068 0.266
8 Sc 0.250 0.401 0.599
9 Sc 0.582 0.734 0.932
10 Sc 0.418 0.266 0.068
11 Dy 0.510 0.094 0.809
12 Dy 0.990 0.191 0.906
13 Dy 0.010 0.809 0.094
14 Dy 0.657 0.857 0.573
15 Dy 0.157 0.573 0.857
16 Dy 0.490 0.906 0.191
17 Dy 0.343 0.143 0.427
18 Dy 0.843 0.427 0.143

The density of states at the Fermi level comes out at 25.6 states/eV per cell. The formation enthalpy at 0 K comes out at 0.11 eV per atom. As for the energy: -91.08 eV per cell.

---

Compound: DyEr6Sc3
Source: Alexandria
Functional: PBE
Structure: optimized geometry

a = 6.184 Å, b = 11.123 Å, c = 11.123 Å
α = 130.49°, β = 90.00°, γ = 90.00°
Positions (direct):
1 Sc 0.103 0.417 0.583
2 Sc 0.986 0.041 0.294
3 Sc 0.486 0.959 0.706
4 Sc 0.486 0.294 0.041
5 Sc 0.986 0.706 0.959
6 Sc 0.603 0.583 0.417
7 Er 0.326 0.459 0.896
8 Er 0.790 0.303 0.697
9 Er 0.295 0.985 0.015
10 Er 0.326 0.104 0.541
11 Er 0.290 0.697 0.303
12 Er 0.826 0.541 0.104
13 Er 0.581 0.623 0.737
14 Er 0.795 0.015 0.985
15 Er 0.081 0.377 0.263
16 Er 0.081 0.737 0.623
17 Er 0.826 0.896 0.459
18 Er 0.581 0.263 0.377
19 Dy 0.514 0.841 0.159
20 Dy 0.014 0.159 0.841

The density of states at the Fermi level comes out at 29.2 states/eV per cell. The formation enthalpy at 0 K comes out at 0.13 eV per atom. As for the energy: -99.44 eV per cell.

---

Compound: Dy5ErSc4
Source: Alexandria
Functional: PBE
Structure: optimized geometry

a = 3.470 Å, b = 3.470 Å, c = 23.577 Å
α = 90.00°, β = 90.00°, γ = 90.00°
Positions (direct):
1 Dy 0.500 0.500 0.696
2 Dy 0.500 0.500 0.893
3 Dy 0.500 0.500 0.107
4 Dy 0.500 0.500 0.500
5 Dy 0.500 0.500 0.304
6 Sc 0.000 0.000 0.598
7 Sc 0.000 0.000 0.402
8 Sc 0.000 0.000 0.205
9 Sc 0.000 0.000 0.795
10 Er 0.000 0.000 0.000

The density of states at the Fermi level comes out at 16.4 states/eV per cell. The formation enthalpy at 0 K comes out at 0.05 eV per atom. As for the energy: -52.43 eV per cell.

---

Compound: DyEr5Sc2
Source: Alexandria
Functional: PBE
Structure: optimized geometry

a = 8.699 Å, b = 8.699 Å, c = 8.729 Å
α = 119.89°, β = 119.89°, γ = 90.00°
Positions (direct):
1 Er 0.507 0.309 0.316
2 Er 0.191 0.993 0.684
3 Er 0.500 0.500 0.000
4 Er 0.993 0.493 0.684
5 Er 0.309 0.809 0.316
6 Er 0.809 0.007 0.316
7 Er 0.493 0.691 0.684
8 Er 0.000 0.000 0.000
9 Er 0.007 0.507 0.316
10 Er 0.691 0.191 0.684
11 Dy 0.250 0.250 0.500
12 Dy 0.750 0.750 0.500
13 Sc 0.642 0.142 0.000
14 Sc 0.142 0.358 0.000
15 Sc 0.358 0.858 0.000
16 Sc 0.858 0.642 0.000

The density of states at the Fermi level comes out at 17.9 states/eV per cell. The formation enthalpy at 0 K comes out at 0.10 eV per atom. As for the energy: -78.55 eV per cell.

---

Compound: Dy2Er4Sc3
Source: Alexandria
Functional: PBE
Structure: optimized geometry

a = 6.663 Å, b = 9.410 Å, c = 9.410 Å
α = 60.11°, β = 89.96°, γ = 89.96°
Positions (direct):
1 Er 0.500 0.144 0.813
2 Er 0.000 0.813 0.144
3 Er 0.000 0.187 0.856
4 Er 0.999 0.144 0.544
5 Er 0.499 0.544 0.144
6 Er 0.001 0.856 0.456
7 Er 0.501 0.456 0.856
8 Er 0.500 0.856 0.187
9 Sc 0.250 0.166 0.165
10 Sc 0.750 0.500 0.500
11 Sc 0.250 0.835 0.834
12 Sc 0.750 0.834 0.835
13 Sc 0.750 0.165 0.166
14 Sc 0.250 0.500 0.500
15 Dy 0.999 0.457 0.187
16 Dy 0.499 0.187 0.457
17 Dy 0.001 0.543 0.813
18 Dy 0.501 0.813 0.543

The density of states at the Fermi level comes out at 20.9 states/eV per cell. The formation enthalpy at 0 K comes out at 0.07 eV per atom. As for the energy: -91.71 eV per cell.

---

Compound: Dy8Er4Sc
Source: Alexandria
Functional: PBE
Structure: optimized geometry

a = 7.199 Å, b = 7.199 Å, c = 9.910 Å
α = 90.00°, β = 111.30°, γ = 120.00°
Positions (direct):
1 Dy 0.433 0.216 0.649
2 Dy 0.506 0.253 0.305
3 Dy 0.948 0.747 0.695
4 Dy 0.494 0.747 0.695
5 Dy 0.052 0.253 0.305
6 Dy 0.052 0.799 0.305
7 Dy 0.567 0.784 0.351
8 Dy 0.948 0.201 0.695
9 Er 0.000 0.000 0.000
10 Er 0.000 0.500 0.000
11 Er 0.500 0.000 0.000
12 Er 0.500 0.500 0.000
13 Sc 0.000 0.500 0.500

The density of states at the Fermi level comes out at 18.4 states/eV per cell. The formation enthalpy at 0 K comes out at 0.20 eV per atom. As for the energy: -58.86 eV per cell.

---

Compound: Dy8ErSc2
Source: Alexandria
Functional: PBE
Structure: optimized geometry

a = 5.761 Å, b = 9.079 Å, c = 9.079 Å
α = 121.71°, β = 105.60°, γ = 105.60°
Positions (direct):
1 Dy 0.176 0.097 0.338
2 Dy 0.500 0.208 0.792
3 Dy 0.500 0.792 0.208
4 Dy 0.824 0.662 0.903
5 Dy 0.293 0.570 0.570
6 Dy 0.707 0.430 0.430
7 Dy 0.176 0.338 0.097
8 Dy 0.824 0.903 0.662
9 Sc 0.000 0.690 0.310
10 Sc 0.000 0.310 0.690
11 Er 0.500 0.000 0.000

The density of states at the Fermi level comes out at 16.2 states/eV per cell. The formation enthalpy at 0 K comes out at 0.17 eV per atom. As for the energy: -52.15 eV per cell.

---

Compound: Dy6ErSc8
Source: Alexandria
Functional: PBE
Structure: optimized geometry

a = 9.175 Å, b = 9.175 Å, c = 7.815 Å
α = 54.06°, β = 54.06°, γ = 60.00°
Positions (direct):
1 Sc 0.378 0.872 0.702
2 Sc 0.953 0.622 0.298
3 Sc 0.128 0.953 0.298
4 Sc 0.872 0.047 0.702
5 Sc 0.232 0.232 0.305
6 Sc 0.768 0.768 0.695
7 Sc 0.622 0.128 0.298
8 Sc 0.047 0.378 0.702
9 Dy 0.829 0.379 0.222
10 Dy 0.430 0.171 0.778
11 Dy 0.621 0.430 0.778
12 Dy 0.570 0.829 0.222
13 Dy 0.171 0.621 0.778
14 Dy 0.379 0.570 0.222
15 Er 0.000 0.000 0.000

The density of states at the Fermi level comes out at 25.4 states/eV per cell. The formation enthalpy at 0 K comes out at 0.19 eV per atom. As for the energy: -79.96 eV per cell.

---

Compound: Dy6Er2Sc
Source: Alexandria
Functional: PBE
Structure: optimized geometry

a = 4.949 Å, b = 6.065 Å, c = 27.367 Å
α = 148.23°, β = 90.00°, γ = 114.08°
Positions (direct):
1 Er 0.658 0.316 0.330
2 Er 0.342 0.684 0.670
3 Sc 0.000 0.000 0.000
4 Dy 0.777 0.553 0.555
5 Dy 0.450 0.900 0.891
6 Dy 0.898 0.797 0.781
7 Dy 0.102 0.203 0.219
8 Dy 0.550 0.100 0.109
9 Dy 0.223 0.447 0.445

The density of states at the Fermi level comes out at 11.6 states/eV per cell. The formation enthalpy at 0 K comes out at 0.03 eV per atom. As for the energy: -42.80 eV per cell.

---

Compound: Dy2Er15Sc2
Source: Alexandria
Functional: PBE
Structure: optimized geometry

a = 8.571 Å, b = 8.571 Å, c = 8.571 Å
α = 79.67°, β = 79.67°, γ = 79.67°
Positions (direct):
1 Er 0.500 0.000 0.000
2 Er 0.634 0.634 0.145
3 Er 0.296 0.704 0.000
4 Er 0.000 0.296 0.704
5 Er 0.704 0.000 0.296
6 Er 0.000 0.000 0.500
7 Er 0.000 0.500 0.000
8 Er 0.366 0.366 0.855
9 Er 0.855 0.366 0.366
10 Er 0.296 0.000 0.704
11 Er 0.145 0.634 0.634
12 Er 0.634 0.145 0.634
13 Er 0.704 0.296 0.000
14 Er 0.000 0.704 0.296
15 Er 0.366 0.855 0.366
16 Dy 0.321 0.321 0.321
17 Dy 0.679 0.679 0.679
18 Sc 0.091 0.091 0.091
19 Sc 0.909 0.909 0.909

The density of states at the Fermi level comes out at 34.5 states/eV per cell. The formation enthalpy at 0 K comes out at 0.29 eV per atom. As for the energy: -84.71 eV per cell.

---

Compound: Dy2Er3Sc8
Source: Alexandria
Functional: PBE
Structure: optimized geometry

a = 5.204 Å, b = 7.147 Å, c = 10.534 Å
α = 109.83°, β = 90.02°, γ = 90.00°
Positions (direct):
1 Sc 0.500 0.181 0.781
2 Sc 0.000 0.663 0.325
3 Sc 0.500 0.819 0.219
4 Sc 0.000 0.337 0.675
5 Sc 0.000 0.870 0.740
6 Sc 0.500 0.400 0.219
7 Sc 0.500 0.600 0.781
8 Sc 0.000 0.130 0.260
9 Er 0.000 0.285 0.000
10 Er 0.000 0.715 0.000
11 Er 0.500 0.000 0.000
12 Dy 0.499 0.240 0.480
13 Dy 0.501 0.760 0.520

The density of states at the Fermi level comes out at 27.1 states/eV per cell. The formation enthalpy at 0 K comes out at 0.29 eV per atom. As for the energy: -69.83 eV per cell.

---

Compound: DyEr4Sc2
Source: Alexandria
Functional: PBE
Structure: optimized geometry

a = 10.785 Å, b = 8.173 Å, c = 8.165 Å
α = 136.31°, β = 106.99°, γ = 97.35°
Positions (direct):
1 Sc 0.126 0.400 0.810
2 Sc 0.624 0.563 0.977
3 Sc 0.413 0.824 0.952
4 Sc 0.694 0.255 0.091
5 Dy 0.197 0.426 0.261
6 Dy 0.055 0.704 0.692
7 Er 0.909 0.998 0.124
8 Er 0.272 0.120 0.390
9 Er 0.344 0.141 0.841
10 Er 0.764 0.273 0.537
11 Er 0.482 0.853 0.401
12 Er 0.979 0.684 0.234
13 Er 0.554 0.545 0.532
14 Er 0.836 0.964 0.659

The density of states at the Fermi level comes out at 25.2 states/eV per cell. The formation enthalpy at 0 K comes out at 0.02 eV per atom. As for the energy: -70.79 eV per cell.

---

Compound: DyEr4Sc6
Source: Alexandria
Functional: PBE
Structure: optimized geometry

a = 9.081 Å, b = 9.081 Å, c = 9.081 Å
α = 58.59°, β = 139.52°, γ = 139.52°
Positions (direct):
1 Er 0.000 0.631 0.011
2 Er 0.000 0.011 0.631
3 Er 0.619 0.989 0.989
4 Er 0.381 0.369 0.369
5 Sc 0.500 0.500 0.000
6 Sc 0.000 0.444 0.790
7 Sc 0.654 0.210 0.210
8 Sc 0.000 0.790 0.444
9 Sc 0.346 0.556 0.556
10 Sc 0.500 0.000 0.500
11 Dy 0.000 0.000 0.000

The density of states at the Fermi level comes out at 14.4 states/eV per cell. The formation enthalpy at 0 K comes out at 0.30 eV per atom. As for the energy: -57.57 eV per cell.

---

Compound: Dy2Er9Sc
Source: Alexandria
Functional: PBE
Structure: optimized geometry

a = 4.944 Å, b = 4.944 Å, c = 14.804 Å
α = 90.00°, β = 90.00°, γ = 90.00°
Positions (direct):
1 Er 0.500 0.500 0.000
2 Er 0.500 0.000 0.162
3 Er 0.500 0.500 0.669
4 Er 0.000 0.500 0.500
5 Er 0.000 0.500 0.162
6 Er 0.500 0.000 0.838
7 Er 0.500 0.000 0.500
8 Er 0.500 0.500 0.331
9 Er 0.000 0.500 0.838
10 Dy 0.000 0.000 0.668
11 Dy 0.000 0.000 0.332
12 Sc 0.000 0.000 0.000

The density of states at the Fermi level comes out at 17.6 states/eV per cell. The formation enthalpy at 0 K comes out at 0.03 eV per atom. As for the energy: -56.24 eV per cell.

---

Compound: DyEr12Sc6
Source: Alexandria
Functional: PBE
Structure: optimized geometry

a = 8.979 Å, b = 8.979 Å, c = 8.979 Å
α = 109.47°, β = 109.47°, γ = 109.47°
Positions (direct):
1 Sc 0.362 0.500 0.862
2 Sc 0.138 0.638 0.500
3 Sc 0.500 0.138 0.638
4 Sc 0.862 0.362 0.500
5 Sc 0.638 0.500 0.138
6 Sc 0.500 0.862 0.362
7 Er 0.804 0.734 0.538
8 Er 0.071 0.804 0.266
9 Er 0.538 0.804 0.734
10 Er 0.734 0.538 0.804
11 Er 0.929 0.196 0.734
12 Er 0.266 0.071 0.804
13 Er 0.266 0.462 0.196
14 Er 0.462 0.196 0.266
15 Er 0.734 0.929 0.196
16 Er 0.804 0.266 0.071
17 Er 0.196 0.266 0.462
18 Er 0.196 0.734 0.929
19 Dy 0.000 0.000 0.000

The density of states at the Fermi level comes out at 28.3 states/eV per cell. The formation enthalpy at 0 K comes out at 0.24 eV per atom. As for the energy: -92.76 eV per cell.

---

Compound: DyEr6Sc
Source: Alexandria
Functional: PBE
Structure: optimized geometry

a = 6.662 Å, b = 6.421 Å, c = 6.734 Å
α = 77.36°, β = 61.79°, γ = 91.88°
Positions (direct):
1 Er 0.582 0.738 0.508
2 Er 0.418 0.262 0.492
3 Er 0.095 0.773 0.468
4 Er 0.441 0.248 0.004
5 Er 0.559 0.752 0.996
6 Er 0.905 0.227 0.532
7 Sc 0.000 0.000 0.000
8 Dy 0.000 0.500 0.000

The density of states at the Fermi level comes out at 13.8 states/eV per cell. The formation enthalpy at 0 K comes out at 0.21 eV per atom. As for the energy: -36.62 eV per cell.